(1)
# CoTeSe2Br

A relaxed CoTeSe2Br crystal (GGA-PBE, the Alexandria database).

a = 4.7629 Å, b = 4.7629 Å, c = 4.7935 Å
α = 90.00°, β = 90.00°, γ = 90.00°
Space group P4/mmm (No. 123)
Symmetry-distinct sites (fractional):
Co: 0.0000 0.0000 0.0000 x1
Te: 0.5000 0.5000 0.5000 x1
Se: 0.0000 0.5000 0.0000 x2
Br: 0.0000 0.0000 0.5000 x1

Output
energy above the most stable polymorph in this dataset	0.000	eV/atom
formation energy from raw total energies	0.256	eV per atom
calculated density	6480	kg/m³

---

(2)
# TiCoSeBr2

A relaxed TiCoSeBr2 crystal (GGA-PBE, the Alexandria database).

a = 5.1362 Å, b = 5.1362 Å, c = 4.9774 Å
α = 90.00°, β = 90.00°, γ = 90.00°
Space group P4/mmm (No. 123)
Symmetry-distinct sites (fractional):
Ti: 0.0000 0.0000 0.0000 x1
Co: 0.5000 0.5000 0.5000 x1
Se: 0.0000 0.0000 0.5000 x1
Br: 0.0000 0.5000 0.0000 x2

Output
energy above the most stable polymorph in this dataset	0.000	eV/atom
formation energy from raw total energies	0.130	eV per atom
calculated density	4370	kg/m³

---

(3)
# TiCoSe2Br

A relaxed TiCoSe2Br crystal (GGA-PBE, the Alexandria database).

a = 4.9424 Å, b = 4.9424 Å, c = 5.0775 Å
α = 90.00°, β = 90.00°, γ = 90.00°
Space group P4/mmm (No. 123)
Symmetry-distinct sites (fractional):
Ti: 0.0000 0.0000 0.0000 x1
Co: 0.5000 0.5000 0.5000 x1
Se: 0.0000 0.5000 0.0000 x2
Br: 0.0000 0.0000 0.5000 x1

Output
energy above the most stable polymorph in this dataset	0.000	eV/atom
formation energy from raw total energies	0.175	eV per atom
calculated density	4614	kg/m³